An optimized crystal structure of Ca2OsCl, computed with GGA-PBE.

Properties
Space-group type = No. 38
Formation energy (no corrections) = -0.31 eV per atom

POSCAR file:
```
Ca2OsCl
1.0
5.7185 0.0044 -0.0007
4.8606 3.0126 -0.0006
0.0006 0.0000 5.1054
Ca Os Cl
2 1 1
Cartesian
7.9174 2.2578 3.1900 Ca
0.0198 0.0056 0.6381 Ca
2.7528 0.7850 0.6379 Os
5.1795 1.4770 3.1903 Cl
```